First-principles (PBE-GGA) data for a geometry-optimized Dy2Sc2Ru3 structure, as listed in Alexandria via LeMat-Bulk.

## Properties
As for the space-group type: No. 166. Its formation energy is -0.3588 eV/atom.

Cell lengths 4.6330, 4.6336, 8.1509 Å; angles 90.01, 106.51, 119.99 degrees
Positions (direct):
Dy: 0.2454 0.1228 0.3680
Dy: 0.7546 0.8772 0.6320
Sc: 0.7430 0.3717 0.1144
Sc: 0.2570 0.6283 0.8856
Ru: 0.0000 0.0000 0.0000
Ru: 0.5105 0.2549 0.7659
Ru: 0.4895 0.7451 0.2341